# NiIrPd2

A relaxed NiIrPd2 crystal (GGA-PBE, OQMD via LeMat-Bulk).

a = 4.3289 Å, b = 4.3289 Å, c = 4.3289 Å
α = 60.00°, β = 60.00°, γ = 60.00°
Positions (direct):
1 Pd 0.7500 0.7500 0.7500
2 Ni 0.0000 0.0000 0.0000
3 Pd 0.5000 0.5000 0.5000
4 Ir 0.2500 0.2500 0.2500

Results
The value obtained for the electronic total energy is -23.73 eV/cell.